Record 1
! Pm4Sm7Cd, optimized geometry, DFT GGA-PBE; values from VASP
&SYSTEM
  ibrav = 0, nat = 12, ntyp = 3
/
ATOMIC_SPECIES
Pm 145.00 Pm.upf
Sm 150.36 Sm.upf
Cd 112.41 Cd.upf
CELL_PARAMETERS angstrom
4.6064 0.0000 0.0000
-2.3032 3.9893 0.0000
0.0000 0.0000 22.9147
ATOMIC_POSITIONS crystal
Pm 0.3333 0.6667 0.1531
Pm 0.3333 0.6667 0.4071
Pm 0.6667 0.3333 0.5929
Pm 0.6667 0.3333 0.8469
Sm 0.0000 0.0000 0.2397
Sm 0.0000 0.0000 0.5000
Sm 0.0000 0.0000 0.7603
Sm 0.3333 0.6667 0.6801
Sm 0.3333 0.6667 0.9388
Sm 0.6667 0.3333 0.0612
Sm 0.6667 0.3333 0.3199
Cd 0.0000 0.0000 0.0000
! DOS(E_F), states/eV/cell: 20.75
! ΔE_f, eV/atom: 0.544
! Magnetization, μB/atom: 0.09

Record 2
! PmSmCd3, optimized geometry, DFT GGA-PBE; values from VASP
&SYSTEM
  ibrav = 0, nat = 10, ntyp = 3
/
ATOMIC_SPECIES
Pm 145.00 Pm.upf
Sm 150.36 Sm.upf
Cd 112.41 Cd.upf
CELL_PARAMETERS angstrom
1.7488 -15.0618 0.0000
1.7488 15.0618 0.0000
0.0000 0.0000 5.0299
ATOMIC_POSITIONS crystal
Pm 0.0740 0.9260 0.7500
Pm 0.9260 0.0740 0.2500
Sm 0.2142 0.7858 0.2500
Sm 0.7858 0.2142 0.7500
Cd 0.3262 0.6738 0.2500
Cd 0.3796 0.6204 0.7500
Cd 0.4764 0.5236 0.7500
Cd 0.5236 0.4764 0.2500
Cd 0.6204 0.3796 0.2500
Cd 0.6738 0.3262 0.7500
! DOS(E_F), states/eV/cell: 8.77
! ΔE_f, eV/atom: -0.307
! Magnetization, μB/atom: 0.00

Record 3
! Pm2SmCd6, optimized geometry, DFT GGA-PBE; values from VASP
&SYSTEM
  ibrav = 0, nat = 9, ntyp = 3
/
ATOMIC_SPECIES
Pm 145.00 Pm.upf
Sm 150.36 Sm.upf
Cd 112.41 Cd.upf
CELL_PARAMETERS angstrom
-1.7078 4.4060 7.7508
1.7078 -4.4060 7.7508
1.7078 4.4060 -7.7508
ATOMIC_POSITIONS crystal
Pm 0.1511 0.1511 0.0000
Pm 0.8489 0.8489 0.0000
Sm 0.5000 0.0000 0.5000
Cd 0.1617 0.3324 0.8293
Cd 0.1729 0.5000 0.6729
Cd 0.4969 0.6676 0.8293
Cd 0.5031 0.3324 0.1707
Cd 0.8271 0.5000 0.3271
Cd 0.8383 0.6676 0.1707
! DOS(E_F), states/eV/cell: 5.03
! ΔE_f, eV/atom: -0.267
! Polymorph energy (0 for the lowest one), eV/atom: 0.074
! Magnetization, μB/atom: 0.00

Record 4
! Pm2Sm2Cd, optimized geometry, DFT GGA-PBE; values from VASP
&SYSTEM
  ibrav = 0, nat = 10, ntyp = 3
/
ATOMIC_SPECIES
Pm 145.00 Pm.upf
Sm 150.36 Sm.upf
Cd 112.41 Cd.upf
CELL_PARAMETERS angstrom
-2.6020 2.6020 12.6128
2.6020 -2.6020 12.6128
2.6020 2.6020 -12.6128
ATOMIC_POSITIONS crystal
Pm 0.0461 0.2961 0.7500
Pm 0.2961 0.0461 0.2500
Pm 0.7039 0.9539 0.7500
Pm 0.9539 0.7039 0.2500
Sm 0.1960 0.4460 0.7500
Sm 0.4460 0.1960 0.2500
Sm 0.5540 0.8040 0.7500
Sm 0.8040 0.5540 0.2500
Cd 0.1250 0.8750 0.2500
Cd 0.8750 0.1250 0.7500
! DOS(E_F), states/eV/cell: 16.21
! ΔE_f, eV/atom: 0.045
! Polymorph energy (0 for the lowest one), eV/atom: 0.160
! Magnetization, μB/atom: 0.00